The following is a DFT calculation (GGA-PBE) of an optimized crystal structure of ZnTe2Pd8.

a b c (Å): 4.1227 7.5750 7.3940
angles (deg): 120.81 106.19 90.00
Closest atoms and distances in Å follow each position.
Element x y z (fractional)
Pd  0.8621  0.8621  0.7241  2 Zn 2.64, 6 Pd 2.77-2.88
Pd  0.6626  0.8994  0.3251  3 Te 2.74, 1 Zn 2.79, 7 Pd 2.85-2.99
Pd  0.0000  0.2938  0.0000  2 Te 2.67, 6 Pd 2.77-2.85
Pd  0.3374  0.5743  0.6749  3 Te 2.74, 1 Zn 2.79, 7 Pd 2.85-2.99
Pd  0.3374  0.1006  0.6749  3 Te 2.74, 1 Zn 2.79, 7 Pd 2.85-2.99
Zn  0.5000  0.0000  0.0000  8 Pd 2.64-2.79
Pd  0.1379  0.1379  0.2759  2 Zn 2.64, 6 Pd 2.77-2.88
Te  0.1804  0.6804  0.3609  8 Pd 2.67-2.74
Pd  0.6626  0.4257  0.3251  3 Te 2.74, 1 Zn 2.79, 7 Pd 2.85-2.99
Te  0.8196  0.3196  0.6391  8 Pd 2.67-2.74
Pd  0.0000  0.7062  0.0000  2 Te 2.67, 6 Pd 2.77-2.85

Calculated total energy (eV/atom): -4.751
Energy relative to the elements, uncorrected (meV per atom): -287